{"formula": "ScBF2", "functional": "GGA-PBE", "state": "optimized geometry", "lattice": [[-0.698, 0.249, 3.950], [-1.537, 3.369, 1.561], [-3.776, 0.037, 1.375]], "species": ["Sc", "B", "F", "F"], "frac_coords": [[0.500, 0.500, 0.500], [0.000, 0.000, 0.000], [0.250, 0.250, 0.250], [0.750, 0.750, 0.750]], "de_polymorph_kj_per_mol_fu": 122, "e_tot_ev_per_atom": -5.175}

{"formula": "ZnCu4W", "functional": "GGA-PBE", "state": "optimized geometry", "lattice": [[4.247, 0.108, 2.265], [1.295, 3.903, 2.504], [0.169, -0.171, 4.808]], "species": ["Zn", "Cu", "Cu", "Cu", "Cu", "W"], "frac_coords": [[0.000, 0.000, 0.000], [0.875, 0.375, 0.375], [0.375, 0.375, 0.875], [0.375, 0.875, 0.375], [0.375, 0.375, 0.375], [0.750, 0.750, 0.750]], "ef_ev_per_atom": 0.36, "e_tot_ev_per_atom": -4.746}

{"formula": "ZrCo4Ir", "functional": "GGA-PBE", "state": "optimized geometry", "lattice": [[4.803, 0.000, 0.000], [2.401, 4.159, 0.000], [2.401, 1.386, 3.922]], "species": ["Co", "Co", "Co", "Co", "Ir", "Zr"], "frac_coords": [[0.128, 0.624, 0.624], [0.624, 0.624, 0.624], [0.624, 0.128, 0.624], [0.624, 0.624, 0.128], [0.250, 0.250, 0.250], [0.000, 0.000, 0.000]], "ef_ev_per_atom": -0.26, "e_tot_ev_per_atom": -7.896}

{"formula": "PmY2ReN4", "functional": "GGA-PBE", "state": "optimized geometry", "lattice": [[-1.909, 0.656, -2.812], [-0.817, -5.920, 1.304], [-9.065, 2.747, 6.795]], "species": ["Pm", "Pm", "Y", "Y", "Y", "Y", "Re", "Re", "N", "N", "N", "N", "N", "N", "N", "N"], "frac_coords": [[0.122, 0.245, 0.750], [0.878, 0.755, 0.250], [0.369, 0.737, 0.539], [0.631, 0.263, 0.039], [0.631, 0.263, 0.461], [0.369, 0.737, 0.961], [0.858, 0.717, 0.750], [0.142, 0.283, 0.250], [0.264, 0.527, 0.129], [0.736, 0.473, 0.629], [0.736, 0.473, 0.871], [0.264, 0.527, 0.371], [0.000, 0.000, 0.500], [0.000, 0.000, 0.000], [0.441, 0.882, 0.750], [0.559, 0.118, 0.250]], "e_tot_ev_per_atom": -8.950}

{"formula": "CeDyCo", "functional": "GGA-PBE", "state": "optimized geometry", "lattice": [[-1.791, -3.035, -5.943], [2.684, -5.896, 2.201], [-4.374, -4.243, 3.485]], "species": ["Ce", "Ce", "Ce", "Ce", "Dy", "Dy", "Dy", "Dy", "Co", "Co", "Co", "Co"], "frac_coords": [[0.692, 0.757, 0.049], [0.308, 0.243, 0.951], [0.192, 0.243, 0.451], [0.808, 0.757, 0.549], [0.178, 0.727, 0.917], [0.322, 0.727, 0.417], [0.822, 0.273, 0.083], [0.678, 0.273, 0.583], [0.533, 0.518, 0.808], [0.467, 0.482, 0.192], [0.967, 0.518, 0.308], [0.033, 0.482, 0.692]], "de_polymorph_kj_per_mol_fu": 28, "ef_ev_per_atom": -0.08, "e_tot_ev_per_atom": -5.959}

{"formula": "Pu3Ga8Pt3", "functional": "GGA-PBE", "state": "optimized geometry", "lattice": [[0.495, -2.770, 3.518], [-3.083, -7.158, -2.318], [5.723, -5.537, -2.280]], "species": ["Pu", "Pu", "Pu", "Ga", "Ga", "Ga", "Ga", "Ga", "Ga", "Ga", "Ga", "Pt", "Pt", "Pt"], "frac_coords": [[0.286, 0.729, 0.700], [0.714, 0.271, 0.300], [0.000, 0.000, 0.000], [0.139, 0.148, 0.573], [0.861, 0.852, 0.427], [0.849, 0.443, 0.858], [0.151, 0.557, 0.142], [0.504, 0.660, 0.331], [0.496, 0.340, 0.669], [0.348, 0.018, 0.286], [0.652, 0.982, 0.714], [0.000, 0.500, 0.500], [0.650, 0.702, 0.999], [0.350, 0.298, 0.001]], "ef_ev_per_atom": -0.61, "e_tot_ev_per_atom": -6.706}

- Number 2 is which compound?
  ZnCu4W